Entry from Alexandria via LeMat-Bulk: a relaxed CuTc4As crystal (PBE).

a b c (Å): 5.136 5.136 5.136
angles (deg): 60.00 60.00 60.00
Positions (direct):
1 Tc 0.375 0.375 0.375
2 Cu 0.000 0.000 0.000
3 Tc 0.375 0.876 0.375
4 Tc 0.375 0.375 0.876
5 As 0.750 0.750 0.750
6 Tc 0.876 0.375 0.375

Values from the calculation:
DOS(E_F)   6.99 states/eV/cell
SG   F-43m
Electronic total energy   -7.73 eV/atom
Energy of formation from the pure elements   372 kJ/mol of formula units
Volume   15.962 A^3/atom